# 1
The following is a DFT calculation (PBE-GGA) of ZnSnF2 after structural relaxation.

abc: 7.7084 7.7084 7.7084
angles: 23.72 23.72 23.72
Positions (direct):
Zn: 0.0000 0.0000 0.0000
Sn: 0.5000 0.5000 0.5000
F: 0.3782 0.3782 0.3782
F: 0.6218 0.6218 0.6218

Results
The value obtained for the total magnetic moment is 0.00 μB/f.u. The calculation puts the energy relative to the elements, uncorrected at -1.507 eV/atom. Its space-group type is R-3m (166). Its volume is 16.28 Å³ per atom.

# 2
The following is a DFT calculation (PBE-GGA) of ZnSnF2 after structural relaxation.

abc: 6.0405 6.0405 6.0405
angles: 124.97 124.97 81.59
Positions (direct):
Zn: 0.0000 0.0000 0.0000
Zn: 0.7500 0.2500 0.5000
Sn: 0.2500 0.7500 0.5000
Sn: 0.5000 0.5000 0.0000
F: 0.3750 0.2418 0.3668
F: 0.7582 0.1250 0.1332
F: 0.8750 0.0082 0.6332
F: 0.9918 0.6250 0.8668

Results
The value obtained for the total magnetic moment is 0.00 μB/f.u. The calculation puts the energy relative to the elements, uncorrected at -1.280 eV/atom. Its space-group type is I-42d (122). Its volume is 17.81 Å³ per atom.

# 3
The following is a DFT calculation (PBE-GGA) of Zn2Sn2F7 after structural relaxation.

abc: 5.5787 5.5787 5.4625
angles: 92.69 92.69 83.30
Positions (direct):
Zn: 0.2417 0.2417 0.0022
Zn: 0.7583 0.7583 0.9978
Sn: 0.2382 0.7618 0.5000
Sn: 0.7618 0.2382 0.5000
F: 0.0000 0.0000 0.0000
F: 0.0864 0.4851 0.7608
F: 0.4102 0.4102 0.2873
F: 0.4851 0.0864 0.7608
F: 0.5149 0.9136 0.2392
F: 0.5898 0.5898 0.7127
F: 0.9136 0.5149 0.2392

Results
The value obtained for the total magnetic moment is 0.00 μB/f.u. The calculation puts the energy relative to the elements, uncorrected at -2.027 eV/atom. Its space-group type is C2/m (12). Its volume is 15.32 Å³ per atom.

no.,total energy (eV per cell)
1,-15.05
2,-28.28
3,-45.95